(1)
The following is a DFT calculation (GGA-PBE) of a geometry-optimized BeCoIr2 structure.

Cell: 8.058 8.058 8.058 Å, 19.32 19.32 19.32°
Fractional positions:
Be1 0.000 0.000 0.000
Co1 0.500 0.500 0.500
Ir1 0.255 0.255 0.255
Ir2 0.745 0.745 0.745

Calculated values
* total energy: -28.93 eV per cell
* symmetry: R-3m, No. 166

---

(2)
The following is a DFT calculation (GGA-PBE) of a geometry-optimized Be2CoIr structure.

Cell: 2.851 3.557 4.165 Å, 90.00 90.00 90.00°
Fractional positions:
Be1 0.000 0.000 0.000
Be2 0.500 0.000 0.500
Co1 0.000 0.500 0.500
Ir1 0.500 0.500 0.000

Calculated values
* offset from the most stable computed form: 234 meV per atom
* symmetry: Pmmm, No. 47

---

(3)
The following is a DFT calculation (GGA-PBE) of a geometry-optimized BeCo2Ir structure.

Cell: 3.684 4.847 4.847 Å, 31.27 90.00 90.00°
Fractional positions:
Be1 0.000 0.000 0.000
Co1 0.000 0.746 0.746
Co2 0.500 0.138 0.138
Ir1 0.500 0.405 0.405

Calculated values
* total energy: -27.19 eV per cell
* symmetry: Amm2, No. 38

---

Calculated volume: 50.0 42.2 44.9 (Å³/f.u.)
Ρ: 15010 10583 11796 (kg/m³)
Total magnetic moment: 2.6 0.8 3.0 (Bohr magnetons per cell)